No. 1
{"formula": "K3ZnSb", "functional": "GGA-PBE", "state": "optimized geometry", "lattice": [[6.7894, 0.0000, 0.0000], [0.0000, 6.7894, 0.0000], [0.0000, 0.0000, 6.7894]], "species": ["K", "K", "K", "Zn", "Sb"], "frac_coords": [[0.0000, 0.0000, 0.5000], [0.0000, 0.5000, 0.0000], [0.5000, 0.0000, 0.0000], [0.5000, 0.5000, 0.5000], [0.0000, 0.0000, 0.0000]], "space_group": "No. 221", "formation_energy_uncorrected_ev_per_atom": -0.05, "polymorph_energy_mev_per_atom": 24}


No. 2
{"formula": "KZnSb", "functional": "GGA-PBE", "state": "optimized geometry", "lattice": [[-2.5370, 4.2202, 4.0192], [2.5370, -4.2202, 4.0192], [2.5370, 4.2202, -4.0192]], "species": ["K", "K", "Zn", "Zn", "Sb", "Sb"], "frac_coords": [[0.0000, 0.0000, 0.0000], [0.6421, 0.1421, 0.5000], [0.2638, 0.4152, 0.8486], [0.5667, 0.4152, 0.1514], [0.0416, 0.7210, 0.3206], [0.4005, 0.7210, 0.6794]], "space_group": "No. 44", "formation_energy_uncorrected_ev_per_atom": -0.23}


No. 3
{"formula": "KZn2Sb", "functional": "GGA-PBE", "state": "optimized geometry", "lattice": [[-2.2422, 2.2422, 5.1810], [2.2422, -2.2422, 5.1810], [2.2422, 2.2422, -5.1810]], "species": ["K", "Zn", "Zn", "Sb"], "frac_coords": [[0.0000, 0.0000, 0.0000], [0.5000, 0.5000, 0.0000], [0.7500, 0.2500, 0.5000], [0.2500, 0.7500, 0.5000]], "space_group": "No. 119", "formation_energy_uncorrected_ev_per_atom": 0.18}


No. 4
{"formula": "KZn2Sb2", "functional": "GGA-PBE", "state": "optimized geometry", "lattice": [[8.4542, 0.0000, 0.0000], [0.0000, 8.4542, 0.0000], [0.0000, 0.0000, 3.4746]], "species": ["K", "K", "Zn", "Zn", "Zn", "Zn", "Sb", "Sb", "Sb", "Sb"], "frac_coords": [[0.0000, 0.0000, 0.0000], [0.5000, 0.5000, 0.0000], [0.1252, 0.3748, 0.0000], [0.3748, 0.8748, 0.0000], [0.6252, 0.1252, 0.0000], [0.8748, 0.6252, 0.0000], [0.1608, 0.6608, 0.5000], [0.3392, 0.1608, 0.5000], [0.6608, 0.8392, 0.5000], [0.8392, 0.3392, 0.5000]], "space_group": "No. 127", "formation_energy_uncorrected_ev_per_atom": -0.04}


No. 5
{"formula": "KZnSb", "functional": "GGA-PBE", "state": "optimized geometry", "lattice": [[4.5766, 0.0000, 0.0000], [-2.2883, 3.9634, 0.0000], [0.0000, 0.0000, 10.6910]], "species": ["K", "K", "Zn", "Zn", "Sb", "Sb"], "frac_coords": [[0.0000, 0.0000, 0.0000], [0.0000, 0.0000, 0.5000], [0.3333, 0.6667, 0.2500], [0.6667, 0.3333, 0.7500], [0.3333, 0.6667, 0.7500], [0.6667, 0.3333, 0.2500]], "space_group": "No. 194", "formation_energy_uncorrected_ev_per_atom": -0.41}


No. 6
{"formula": "KZn2Sb2", "functional": "GGA-PBE", "state": "optimized geometry", "lattice": [[8.6519, 0.0000, 0.0000], [0.0000, 8.6519, 0.0000], [0.0000, 0.0000, 3.4311]], "species": ["K", "K", "Zn", "Zn", "Zn", "Zn", "Sb", "Sb", "Sb", "Sb"], "frac_coords": [[0.0000, 0.0000, 0.0000], [0.5000, 0.5000, 0.0000], [0.1426, 0.3574, 0.5000], [0.3574, 0.8574, 0.5000], [0.6426, 0.1426, 0.5000], [0.8574, 0.6426, 0.5000], [0.1438, 0.6438, 0.0000], [0.3562, 0.1438, 0.0000], [0.6438, 0.8562, 0.0000], [0.8562, 0.3562, 0.0000]], "space_group": "No. 127", "formation_energy_uncorrected_ev_per_atom": 0.02}


So what do the calculations give for total DFT energy (no corrections)? Going down the list: -8.91 -14.39 -7.06 -24.21 -15.43 -23.58 eV/cell.
So what do the calculations give for N(E_F)? Going down the list: 0.00 0.35 1.62 3.28 0.01 3.65 states/eV per cell.